[1]
Material: Rb2PdPtI6
Method: DFT, PBE
State: optimized geometry

Cell and atoms, written as POSCAR:
```
Rb2PdPtI6
1.0
7.9770 0.0000 0.0000
0.0000 7.9770 0.0000
3.9885 3.9885 5.6656
I Rb Pd Pt
6 2 1 1
Cartesian
3.9885 3.9885 2.8812
7.9770 7.9770 2.7844
1.9795 1.9795 0.0000
5.9975 5.9975 0.0000
5.9975 1.9795 0.0000
1.9795 5.9975 0.0000
7.9770 3.9885 2.8328
3.9885 7.9770 2.8328
3.9885 3.9885 0.0000
0.0000 0.0000 0.0000
```

Calculated values
Raw formation energy   -652.7 meV per atom
Polymorph energy (0 for the lowest one)   0 meV per atom

[2]
Material: Ti3SiTe
Method: DFT, PBE
State: optimized geometry

Cell and atoms, written as POSCAR:
```
Ti3SiTe
1.0
-0.1593 4.1866 2.6782
-4.4885 1.0293 -1.8760
-2.1339 -2.4777 3.7462
Si Te Ti
1 1 3
Cartesian
-3.3909 1.3691 2.2742
0.0000 0.0000 0.0000
-2.2443 0.5146 -0.9380
-1.0670 -1.2388 1.8731
-0.0797 2.0933 1.3391
```

Calculated values
Raw formation energy   895.2 meV per atom
Polymorph energy (0 for the lowest one)   759 meV per atom

[3]
Material: Zn2CdAgF
Method: DFT, PBE
State: optimized geometry

Cell and atoms, written as POSCAR:
```
Zn2CdAgF
1.0
-1.4730 3.9876 -2.8570
-2.3956 -2.7511 -2.6047
-4.0707 0.6710 3.0352
Zn F Ag Cd
2 1 1 1
Cartesian
-2.0354 0.3355 1.5176
-0.7365 1.9938 -1.4285
-1.1978 -1.3755 -1.3024
0.0000 0.0000 0.0000
-3.9696 0.9538 -1.2133
```

Calculated values
Raw formation energy   -120.6 meV per atom

[4]
Material: Li2In8Sn
Method: DFT, PBE
State: optimized geometry

Cell and atoms, written as POSCAR:
```
Li2In8Sn
1.0
4.7624 0.0000 0.0000
0.0000 4.7624 0.0000
0.0000 0.0000 12.5812
Li In Sn
2 8 1
Cartesian
0.0000 0.0000 4.2963
0.0000 0.0000 8.2849
0.0000 2.3812 6.2906
2.3812 0.0000 6.2906
2.3812 2.3812 4.1373
2.3812 2.3812 8.4439
0.0000 2.3812 2.0560
2.3812 0.0000 2.0560
0.0000 2.3812 10.5252
2.3812 0.0000 10.5252
0.0000 0.0000 0.0000
```

Calculated values
E_form   -0.0707 eV per atom

[5]
Material: Ta4AlOs
Method: DFT, PBE
State: optimized geometry

Cell and atoms, written as POSCAR:
```
Ta4AlOs
1.0
0.0000 3.7698 3.7698
3.7698 0.0000 3.7698
3.7698 3.7698 0.0000
Ta Al Os
4 1 1
Cartesian
2.8307 4.7089 4.7089
4.7089 4.7089 2.8307
4.7089 2.8307 4.7089
2.8307 2.8307 2.8307
5.6547 5.6547 5.6547
0.0000 0.0000 0.0000
```

Calculated values
E_form   0.3365 eV per atom

[6]
Material: Y8Ge3Te4Br
Method: DFT, PBE
State: optimized geometry

Cell and atoms, written as POSCAR:
```
Y8Ge3Te4Br
1.0
8.5055 0.0000 0.0000
0.0000 8.6178 0.0730
-4.2527 -4.2483 6.0175
Y Ge Te Br
8 3 4 1
Cartesian
-2.0124 2.1033 5.9127
0.0000 4.1136 3.0654
0.0000 0.2068 3.1516
2.0124 2.1033 5.9127
2.2403 2.2662 0.1778
4.2527 4.1628 2.9388
4.2527 0.2559 3.0251
6.2652 2.2662 0.1778
4.2527 4.3089 0.0365
2.1264 2.1848 3.0452
-2.1264 2.1848 3.0452
4.2527 0.0000 0.0000
2.1264 -2.1241 3.0087
0.0000 0.0000 0.0000
-2.1264 -2.1241 3.0087
0.0000 4.3089 0.0365
```

Calculated values
Raw formation energy   -1240.2 meV per atom

no.,total DFT energy (no corrections) (eV/atom)
1,-2.900
2,-5.555
3,-1.758
4,-2.774
5,-10.061
6,-6.228